1.
DFT (PBE) results for an optimized crystal structure of Pr3TiB2N6.

POSCAR file:
```
Pr3TiB2N6
1.0
5.4527 0.0000 0.0000
-2.7264 4.7222 0.0000
0.0000 0.0000 6.2404
Pr Ti B N
3 1 2 6
Direct
0.0000 0.0000 0.0000
0.3333 0.6667 0.6654
0.6667 0.3333 0.3346
0.0000 0.0000 0.5000
0.3333 0.6667 0.2630
0.6667 0.3333 0.7370
0.1795 0.3589 0.2976
0.1795 0.8205 0.2976
0.3589 0.1795 0.7024
0.6411 0.8205 0.2976
0.8205 0.1795 0.7024
0.8205 0.6411 0.7024
```

Computed properties:
**Energy**: -99.56 eV/f.u.
**Spin magnetization**: 0.00 μB per formula unit
**Energy relative to the elements, uncorrected**: -1168 meV per atom
**Mass density**: 5.955 Mg/m³
**SG**: P-3m1, No. 164
**Crystal system**: trigonal
**Calculated volume**: 13.4 A^3/atom



2.
DFT (PBE) results for an optimized crystal structure of Dy6Y2ErSc3.

POSCAR file:
```
Dy6Y2ErSc3
1.0
3.0207 -5.2267 0.0000
3.0207 5.2267 0.0000
-2.0086 0.0000 11.2697
Dy Y Er Sc
6 2 1 3
Direct
0.0866 0.4191 0.7595
0.2459 0.2459 0.2406
0.4191 0.0866 0.7595
0.5809 0.9134 0.2405
0.7541 0.7541 0.7594
0.9134 0.5809 0.2405
0.3333 0.6667 0.5000
0.6667 0.3333 0.5000
0.0000 0.0000 0.5000
0.1666 0.8334 0.0000
0.5000 0.5000 0.0000
0.8334 0.1666 0.0000
```

Computed properties:
**Energy**: -63.55 eV/f.u.
**Spin magnetization**: 0.00 μB per formula unit
**Mass density**: 6.789 Mg/m³
**SG**: C2/m, No. 12
**Formation energy**: 0.05 eV/atom
**Crystal system**: monoclinic
**Calculated volume**: 29.7 A^3/atom



3.
DFT (PBE) results for an optimized crystal structure of Rb3SnTe.

POSCAR file:
```
Rb3SnTe
1.0
6.9646 0.0000 0.0000
0.0000 6.9646 0.0000
0.0000 0.0000 6.9646
Rb Sn Te
3 1 1
Direct
0.0000 0.0000 0.5000
0.0000 0.5000 0.0000
0.5000 0.0000 0.0000
0.5000 0.5000 0.5000
0.0000 0.0000 0.0000
```

Computed properties:
**Energy**: -11.47 eV/f.u.
**Spin magnetization**: 3.00 μB per formula unit
**Energy relative to the elements, uncorrected**: -284 meV per atom
**Mass density**: 2.471 Mg/m³
**SG**: Pm-3m, No. 221
**Crystal system**: cubic
**Calculated volume**: 67.6 A^3/atom



4.
DFT (PBE) results for an optimized crystal structure of YHfNO2.

POSCAR file:
```
YHfNO2
1.0
4.0200 0.0000 0.0000
0.0000 4.0200 0.0000
0.0000 0.0000 4.2945
Y Hf N O
1 1 1 2
Direct
0.0000 0.0000 0.0000
0.5000 0.5000 0.5000
0.5000 0.5000 0.0000
0.0000 0.5000 0.5000
0.5000 0.0000 0.5000
```

Computed properties:
**Energy**: -46.88 eV/f.u.
**Spin magnetization**: 0.00 μB per formula unit
**Energy relative to the elements, uncorrected**: -2445 meV per atom
**Mass density**: 7.499 Mg/m³
**SG**: P4/mmm, No. 123
**Crystal system**: tetragonal
**Calculated volume**: 13.9 A^3/atom



5.
DFT (PBE) results for an optimized crystal structure of AsRh.

POSCAR file:
```
AsRh
1.0
3.6360 0.0000 0.0000
0.0000 13.0094 0.0000
0.0000 0.0000 5.3042
As Rh
6 6
Direct
0.2500 0.1051 0.2133
0.2500 0.3949 0.2133
0.2500 0.7500 0.2196
0.7500 0.2500 0.7804
0.7500 0.6051 0.7867
0.7500 0.8949 0.7867
0.2500 0.2500 0.4928
0.2500 0.5794 0.0713
0.2500 0.9206 0.0713
0.7500 0.0794 0.9287
0.7500 0.4206 0.9287
0.7500 0.7500 0.5072
```

Computed properties:
**Energy**: -12.41 eV/f.u.
**Spin magnetization**: 0.00 μB per formula unit
**Mass density**: 7.061 Mg/m³
**SG**: Pmmn, No. 59
**Formation energy**: -0.21 eV/atom
**Crystal system**: orthorhombic
**Calculated volume**: 20.9 A^3/atom



6.
DFT (PBE) results for an optimized crystal structure of TiFe2Ni6.

POSCAR file:
```
TiFe2Ni6
1.0
4.0226 -1.7875 0.0000
4.0226 1.7875 0.0000
-2.4413 0.0000 7.2092
Ti Fe Ni
1 2 6
Direct
0.0000 0.0000 0.0000
0.3204 0.3204 0.7645
0.6796 0.6796 0.2355
0.0035 0.0035 0.3334
0.3361 0.3361 0.4459
0.3367 0.3367 0.1152
0.6633 0.6633 0.8848
0.6639 0.6639 0.5541
0.9965 0.9965 0.6666
```

Computed properties:
**Energy**: -60.86 eV/f.u.
**Spin magnetization**: 7.01 μB per formula unit
**Mass density**: 8.196 Mg/m³
**SG**: C2/m, No. 12
**Formation energy**: -0.15 eV/atom
**Crystal system**: monoclinic
**Calculated volume**: 11.5 A^3/atom



7.
DFT (PBE) results for an optimized crystal structure of InGaHg2S4.

POSCAR file:
```
InGaHg2S4
1.0
-3.1748 3.1748 5.3892
3.1748 -3.1748 5.3892
3.1748 3.1748 -5.3892
In Ga Hg S
1 1 2 4
Direct
0.0000 0.0000 0.0000
0.2500 0.7500 0.5000
0.5000 0.5000 0.0000
0.7500 0.2500 0.5000
0.1455 0.0726 0.4741
0.3286 0.8545 0.9270
0.5984 0.6714 0.5259
0.9274 0.4016 0.0730
```

Computed properties:
**Energy**: -24.89 eV/f.u.
**Spin magnetization**: 0.00 μB per formula unit
**Energy relative to the elements, uncorrected**: -252 meV per atom
**Mass density**: 5.457 Mg/m³
**SG**: I-4, No. 82
**Crystal system**: tetragonal
**Calculated volume**: 27.2 A^3/atom



8.
DFT (PBE) results for an optimized crystal structure of CaLa7Sm12.

POSCAR file:
```
CaLa7Sm12
1.0
-5.7928 5.7928 5.7928
5.7928 -5.7928 5.7928
5.7928 5.7928 -5.7928
Ca La Sm
1 7 12
Direct
0.0000 0.0000 0.0000
0.0000 0.0000 0.5000
0.0000 0.5000 0.0000
0.0000 0.5000 0.5000
0.5000 0.0000 0.0000
0.5000 0.0000 0.5000
0.5000 0.5000 0.0000
0.5000 0.5000 0.5000
0.0013 0.7477 0.2537
0.2523 0.2537 0.5060
0.2523 0.7463 0.9987
0.2537 0.0013 0.7477
0.2537 0.5060 0.2523
0.4940 0.7477 0.7463
0.5060 0.2523 0.2537
0.7463 0.4940 0.7477
0.7463 0.9987 0.2523
0.7477 0.2537 0.0013
0.7477 0.7463 0.4940
0.9987 0.2523 0.7463
```

Computed properties:
**Energy**: -82.34 eV/f.u.
**Spin magnetization**: 0.00 μB per formula unit
**Mass density**: 6.015 Mg/m³
**SG**: Im-3, No. 204
**Formation energy**: 0.54 eV/atom
**Crystal system**: cubic
**Calculated volume**: 38.9 A^3/atom



9.
DFT (PBE) results for an optimized crystal structure of ZrCr2Tc.

POSCAR file:
```
ZrCr2Tc
1.0
0.0000 3.1133 3.1133
3.1133 0.0000 3.1133
3.1133 3.1133 0.0000
Zr Cr Tc
1 2 1
Direct
0.0000 0.0000 0.0000
0.5000 0.5000 0.5000
0.7500 0.7500 0.7500
0.2500 0.2500 0.2500
```

Computed properties:
**Energy**: -37.89 eV/f.u.
**Spin magnetization**: 0.47 μB per formula unit
**Mass density**: 8.067 Mg/m³
**SG**: F-43m, No. 216
**Formation energy**: 0.07 eV/atom
**Crystal system**: cubic
**Calculated volume**: 15.1 A^3/atom



10.
DFT (PBE) results for an optimized crystal structure of Sr5Si2As6.

POSCAR file:
```
Sr5Si2As6
1.0
11.9074 0.0000 0.0000
0.0000 14.6071 0.0000
0.0000 0.0000 4.1378
Sr Si As
10 4 12
Direct
0.0000 0.0000 0.0000
0.0709 0.2478 0.0000
0.1634 0.5036 0.0000
0.3366 0.0036 0.0000
0.4291 0.7478 0.0000
0.5000 0.5000 0.0000
0.5709 0.2522 0.0000
0.6634 0.9964 0.0000
0.8366 0.4964 0.0000
0.9291 0.7522 0.0000
0.1779 0.7104 0.5000
0.3221 0.2104 0.5000
0.6779 0.7896 0.5000
0.8221 0.2896 0.5000
0.0183 0.6122 0.5000
0.1644 0.1010 0.5000
0.1818 0.8154 0.0000
0.3182 0.3154 0.0000
0.3356 0.6010 0.5000
0.4817 0.1122 0.5000
0.5183 0.8878 0.5000
0.6644 0.3990 0.5000
0.6818 0.6846 0.0000
0.8182 0.1846 0.0000
0.8356 0.8990 0.5000
0.9817 0.3878 0.5000
```

Computed properties:
**Energy**: -58.25 eV/f.u.
**Spin magnetization**: 0.00 μB per formula unit
**Energy relative to the elements, uncorrected**: -854 meV per atom
**Mass density**: 4.355 Mg/m³
**SG**: Pbam, No. 55
**Crystal system**: orthorhombic
**Calculated volume**: 27.7 A^3/atom



11.
DFT (PBE) results for an optimized crystal structure of Er3UTl3Te8.

POSCAR file:
```
Er3UTl3Te8
1.0
4.3879 2.5333 8.2552
-4.3879 2.5333 8.2552
0.0000 -5.0667 8.2552
Er U Tl Te
3 1 3 8
Direct
0.0000 0.5000 0.5000
0.5000 0.0000 0.5000
0.5000 0.5000 0.0000
0.0000 0.0000 0.0000
0.0000 0.0000 0.5000
0.0000 0.5000 0.0000
0.5000 0.0000 0.0000
0.2377 0.2377 0.7356
0.2377 0.7356 0.2377
0.2628 0.2628 0.2628
0.2644 0.7623 0.7623
0.7356 0.2377 0.2377
0.7372 0.7372 0.7372
0.7623 0.2644 0.7623
0.7623 0.7623 0.2644
```

Computed properties:
**Energy**: -71.45 eV/f.u.
**Spin magnetization**: 2.00 μB per formula unit
**Energy relative to the elements, uncorrected**: -949 meV per atom
**Mass density**: 7.160 Mg/m³
**SG**: R-3m, No. 166
**Crystal system**: trigonal
**Calculated volume**: 36.7 A^3/atom



12.
DFT (PBE) results for an optimized crystal structure of ReMoHRu2.

POSCAR file:
```
ReMoHRu2
1.0
3.9171 0.0000 0.0000
0.0000 3.9171 0.0000
0.0000 0.0000 3.9479
Re Mo H Ru
1 1 1 2
Direct
0.0000 0.0000 0.0000
0.5000 0.5000 0.0000
0.0000 0.0000 0.5000
0.0000 0.5000 0.5000
0.5000 0.0000 0.5000
```

Computed properties:
**Energy**: -44.99 eV/f.u.
**Spin magnetization**: 0.00 μB per formula unit
**Mass density**: 13.303 Mg/m³
**SG**: P4/mmm, No. 123
**Crystal system**: tetragonal
**Calculated volume**: 12.1 A^3/atom